Record 1
DFT (GGA-PBE) results for a geometry-optimized Re3BRu structure.

Symmetry = P2_1/c
Crystal system = monoclinic
Energy above the lowest structure with this stoichiometry = 0 meV/atom
Formation energy = 0.068 eV/atom

abc: 5.036 6.554 8.515
angles: 108.83 90.00 90.00
Positions (direct):
Re1 0.011 0.206 0.051
Re2 0.314 0.385 0.310
Re3 0.989 0.794 0.949
Re4 0.061 0.987 0.322
B1 0.521 0.735 0.941
Ru1 0.680 0.376 0.882
Re5 0.511 0.794 0.449
Re6 0.686 0.615 0.690
Ru2 0.820 0.376 0.382
Re7 0.561 0.013 0.178
Re8 0.489 0.206 0.551
Ru3 0.180 0.624 0.618
B2 0.479 0.265 0.059
Re9 0.939 0.013 0.678
B3 0.021 0.265 0.559
Re10 0.814 0.615 0.190
Re11 0.186 0.385 0.810
Ru4 0.320 0.624 0.118
B4 0.979 0.735 0.441
Re12 0.439 0.987 0.822

Record 2
DFT (GGA-PBE) results for a geometry-optimized CaH12W6Cl2 structure.

Symmetry = P-62m
Crystal system = hexagonal

abc: 10.651 10.651 2.661
angles: 90.00 90.00 120.00
Positions (direct):
Ca1 0.000 0.000 0.000
H1 0.955 0.533 0.999
W1 0.242 0.000 0.500
W2 0.000 0.733 0.000
H2 0.365 0.217 0.500
H3 0.783 0.148 0.500
W3 0.733 0.000 0.000
Cl1 0.333 0.667 0.999
H4 0.421 0.467 0.001
H5 0.467 0.421 0.999
W4 0.758 0.758 0.500
W5 0.000 0.242 0.500
H6 0.635 0.852 0.500
H7 0.045 0.579 0.001
Cl2 0.667 0.333 0.001
H8 0.579 0.045 0.999
H9 0.533 0.955 0.001
H10 0.852 0.635 0.500
H11 0.148 0.783 0.500
H12 0.217 0.365 0.500
W6 0.267 0.267 0.000

Record 3
DFT (GGA-PBE) results for a geometry-optimized HfTc2Os2 structure.

Symmetry = P4/mbm
Crystal system = tetragonal
Energy above the lowest structure with this stoichiometry = 0 meV/atom
Formation energy = -0.029 eV/atom

abc: 7.594 7.594 2.791
angles: 90.00 90.00 90.00
Positions (direct):
Os1 0.377 0.877 0.000
Hf1 0.000 0.000 0.000
Hf2 0.500 0.500 0.000
Os2 0.623 0.123 0.000
Os3 0.123 0.377 0.000
Os4 0.877 0.623 0.000
Tc1 0.828 0.328 0.500
Tc2 0.172 0.672 0.500
Tc3 0.328 0.172 0.500
Tc4 0.672 0.828 0.500

Record 4
DFT (GGA-PBE) results for a geometry-optimized TcRuSe2 structure.

Symmetry = C2/m
Formation energy (no corrections) = 0.17 eV per atom
Crystal system = monoclinic
Energy above the lowest structure with this stoichiometry = 247 meV/atom

abc: 4.237 4.237 5.295
angles: 78.42 78.42 42.29
Positions (direct):
Tc1 0.250 0.250 0.250
Se1 0.994 0.994 0.004
Ru1 0.750 0.750 0.750
Se2 0.506 0.506 0.496

Record 5
DFT (GGA-PBE) results for a geometry-optimized Al4CuSi2 structure.

Symmetry = P2_1/m
Formation energy (no corrections) = 0.11 eV per atom
Crystal system = monoclinic
Energy above the lowest structure with this stoichiometry = 0 meV/atom

abc: 3.546 6.643 9.945
angles: 77.38 90.00 90.00
Positions (direct):
Si1 0.250 0.677 0.593
Al1 0.750 0.904 0.425
Al2 0.250 0.096 0.575
Cu1 0.250 0.163 0.291
Al3 0.750 0.382 0.659
Al4 0.750 0.986 0.143
Si2 0.750 0.323 0.407
Al5 0.250 0.618 0.341
Al6 0.750 0.424 0.135
Si3 0.750 0.275 0.917
Al7 0.250 0.576 0.865
Si4 0.250 0.725 0.083
Cu2 0.750 0.837 0.709
Al8 0.250 0.014 0.857

Record 6
DFT (GGA-PBE) results for a geometry-optimized ZnHg2BOs structure.

Symmetry = P4/mmm
Crystal system = tetragonal
Formation energy = 2.012 eV/atom

abc: 4.930 4.828 4.930
angles: 90.00 90.00 90.00
Positions (direct):
Hg1 0.500 0.000 0.000
Hg2 0.000 0.000 0.500
B1 0.500 0.500 0.500
Zn1 0.000 0.000 0.000
Os1 0.000 0.500 0.000

Record 7
DFT (GGA-PBE) results for a geometry-optimized TbSnPd4 structure.

Symmetry = C2/m
Crystal system = monoclinic
Energy above the lowest structure with this stoichiometry = 0 meV/atom
Formation energy = -0.671 eV/atom

abc: 3.626 5.164 6.928
angles: 104.04 74.83 69.45
Positions (direct):
Pd1 0.649 0.021 0.680
Pd2 0.186 0.472 0.155
Tb1 0.500 0.500 0.500
Pd3 0.814 0.528 0.845
Sn1 0.000 0.000 0.000
Pd4 0.351 0.979 0.320

Record 8
DFT (GGA-PBE) results for a geometry-optimized ZrBeCr structure.

Symmetry = P3m1
Crystal system = trigonal
Energy above the lowest structure with this stoichiometry = 648 meV/atom
Formation energy = 0.595 eV/atom

abc: 2.744 2.744 6.777
angles: 90.00 90.00 120.00
Positions (direct):
Cr1 0.667 0.333 0.299
Be1 0.000 0.000 0.026
Zr1 0.333 0.667 0.675

Record 9
DFT (GGA-PBE) results for a geometry-optimized MnVPt6 structure.

Symmetry = P4/mmm
Crystal system = tetragonal
Formation energy = -0.438 eV/atom

abc: 3.928 3.928 7.832
angles: 90.00 90.00 90.00
Positions (direct):
Pt1 0.500 0.500 0.000
V1 0.000 0.000 0.500
Pt2 0.000 0.500 0.745
Pt3 0.500 0.000 0.255
Pt4 0.000 0.500 0.255
Pt5 0.500 0.000 0.745
Mn1 0.000 0.000 0.000
Pt6 0.500 0.500 0.500

Record 10
DFT (GGA-PBE) results for a geometry-optimized ErBi3 structure.

Symmetry = P6_3/mmc
Crystal system = hexagonal
Formation energy = -0.290 eV/atom

abc: 6.880 6.880 5.894
angles: 90.00 90.00 120.00
Positions (direct):
Bi1 0.174 0.826 0.250
Bi2 0.826 0.651 0.750
Er1 0.667 0.333 0.250
Bi3 0.174 0.349 0.250
Bi4 0.826 0.174 0.750
Er2 0.333 0.667 0.750
Bi5 0.651 0.826 0.250
Bi6 0.349 0.174 0.750

Record 11
DFT (GGA-PBE) results for a geometry-optimized BaMnSe2 structure.

Symmetry = P2_1/c
Formation energy (no corrections) = -1.22 eV per atom
Crystal system = monoclinic

abc: 7.648 7.720 8.293
angles: 90.00 90.00 98.22
Positions (direct):
Ba1 0.188 0.304 0.421
Se1 0.417 0.209 0.113
Mn1 0.662 0.728 0.175
Se2 0.417 0.709 0.387
Ba2 0.812 0.196 0.921
Se3 0.583 0.291 0.613
Se4 0.127 0.001 0.728
Mn2 0.662 0.228 0.325
Ba3 0.188 0.804 0.079
Ba4 0.812 0.696 0.579
Se5 0.873 0.499 0.228
Mn3 0.338 0.272 0.825
Se6 0.873 0.999 0.272
Mn4 0.338 0.772 0.675
Se7 0.127 0.501 0.772
Se8 0.583 0.791 0.887

Record 12
DFT (GGA-PBE) results for a geometry-optimized LiRu2Br structure.

Symmetry = I-4m2
Formation energy (no corrections) = 0.64 eV per atom
Crystal system = tetragonal
Energy above the lowest structure with this stoichiometry = 474 meV/atom

abc: 4.312 4.312 4.312
angles: 114.36 114.36 100.08
Positions (direct):
Ru1 0.000 0.000 0.000
Br1 0.500 0.500 0.000
Li1 0.750 0.250 0.500
Ru2 0.250 0.750 0.500

Record 13
DFT (GGA-PBE) results for a geometry-optimized ZrMn2GeC structure.

Symmetry = Cmcm
Crystal system = orthorhombic
Formation energy = -0.344 eV/atom

abc: 3.536 5.615 7.065
angles: 90.00 90.00 108.35
Positions (direct):
Ge1 0.741 0.483 0.750
Zr1 0.537 0.074 0.250
Mn1 0.165 0.330 0.558
C1 0.000 0.000 0.500
Mn2 0.835 0.670 0.442
Mn3 0.835 0.670 0.058
Ge2 0.259 0.517 0.250
Mn4 0.165 0.330 0.942
Zr2 0.463 0.926 0.750
C2 0.000 0.000 0.000

Record 14
DFT (GGA-PBE) results for a geometry-optimized Ba2NaTl6Cd structure.

Symmetry = Fm-3m
Crystal system = cubic
Formation energy = -0.033 eV/atom

abc: 8.045 8.045 8.045
angles: 60.00 60.00 90.00
Positions (direct):
Cd1 0.000 0.000 0.000
Tl1 0.251 0.749 0.000
Tl2 0.749 0.749 0.503
Na1 0.500 0.500 0.000
Tl3 0.251 0.251 0.497
Ba1 0.250 0.750 0.500
Tl4 0.749 0.749 0.000
Tl5 0.749 0.251 0.000
Tl6 0.251 0.251 0.000
Ba2 0.750 0.250 0.500

Record 15
DFT (GGA-PBE) results for a geometry-optimized AcZn6Cd2 structure.

Symmetry = Fd-3m
Crystal system = cubic
Energy above the lowest structure with this stoichiometry = 302 meV/atom
Formation energy = 0.320 eV/atom

abc: 8.735 8.735 8.735
angles: 60.00 60.00 60.00
Positions (direct):
Zn1 0.248 0.248 0.752
Cd1 0.625 0.125 0.125
Ac1 0.750 0.750 0.750
Zn2 0.248 0.752 0.752
Zn3 0.248 0.752 0.248
Zn4 0.002 0.002 0.498
Zn5 0.752 0.248 0.752
Zn6 0.002 0.498 0.002
Zn7 0.752 0.752 0.248
Zn8 0.498 0.002 0.498
Zn9 0.498 0.002 0.002
Cd2 0.125 0.125 0.125
Cd3 0.125 0.125 0.625
Zn10 0.752 0.248 0.248
Zn11 0.002 0.498 0.498
Ac2 0.500 0.500 0.500
Cd4 0.125 0.625 0.125
Zn12 0.498 0.498 0.002

Record 16
DFT (GGA-PBE) results for a geometry-optimized CaScRh structure.

Symmetry = P-1
Crystal system = triclinic
Energy above the lowest structure with this stoichiometry = 88 meV/atom
Formation energy = -0.519 eV/atom

abc: 4.896 5.179 5.953
angles: 100.30 90.63 91.69
Positions (direct):
Rh1 0.236 0.160 0.382
Ca1 0.247 0.225 0.905
Ca2 0.753 0.775 0.095
Sc1 0.258 0.687 0.504
Sc2 0.742 0.313 0.496
Rh2 0.764 0.840 0.618

Record 17
DFT (GGA-PBE) results for a geometry-optimized CrNiPt structure.

Symmetry = C2/m
Crystal system = monoclinic
Energy above the lowest structure with this stoichiometry = 52 meV/atom
Formation energy = -0.102 eV/atom

abc: 6.003 6.003 5.329
angles: 47.53 47.53 34.29
Positions (direct):
Cr1 0.736 0.694 0.433
Pt1 0.422 0.380 0.904
Ni1 0.742 0.700 0.922
Ni2 0.098 0.056 0.389
Cr2 0.104 0.061 0.878
Pt2 0.418 0.375 0.407

Record 18
DFT (GGA-PBE) results for a geometry-optimized Sm6Ru2PtBr3 structure.

Symmetry = C2/m
Formation energy (no corrections) = -0.97 eV per atom
Crystal system = monoclinic

abc: 7.069 7.069 8.123
angles: 98.32 98.32 120.01
Positions (direct):
Sm1 0.719 0.719 0.196
Sm2 0.065 0.411 0.196
Sm3 0.589 0.935 0.804
Sm4 0.411 0.065 0.196
Ru1 0.667 0.333 0.000
Br1 0.831 0.169 0.500
Ru2 0.333 0.667 0.000
Br2 0.169 0.831 0.500
Sm5 0.935 0.589 0.804
Sm6 0.281 0.281 0.804
Pt1 0.000 0.000 0.000
Br3 0.500 0.500 0.500

Record 19
DFT (GGA-PBE) results for a geometry-optimized PmY4AgS8 structure.

Symmetry = R3m
Formation energy (no corrections) = -1.82 eV per atom
Crystal system = trigonal

abc: 8.046 8.046 8.110
angles: 60.26 60.26 60.00
Positions (direct):
S1 0.759 0.759 0.724
S2 0.754 0.754 0.264
S3 0.227 0.754 0.264
Y1 0.004 0.487 0.504
Y2 0.626 0.626 0.122
S4 0.242 0.242 0.274
Y3 0.487 0.004 0.504
S5 0.754 0.227 0.264
S6 0.246 0.246 0.736
Ag1 0.374 0.374 0.878
S7 0.246 0.772 0.736
Y4 0.004 0.004 0.504
S8 0.772 0.246 0.736
Pm1 0.004 0.004 0.988

Record 20
DFT (GGA-PBE) results for a geometry-optimized RbBaNa structure.

Symmetry = Pm
Crystal system = monoclinic
Energy above the lowest structure with this stoichiometry = 15 meV/atom
Formation energy = 0.043 eV/atom

abc: 4.537 4.536 18.326
angles: 90.00 90.20 90.00
Positions (direct):
Na1 0.845 0.000 0.497
Ba1 0.341 0.500 0.354
Ba2 0.837 0.000 0.175
Rb1 0.848 0.000 0.750
Rb2 0.332 0.500 0.972
Na2 0.347 0.500 0.588

| no. | final energy (Ry/atom) |
| --- | --- |
| 1 | -0.7784 |
| 2 | -0.3910 |
| 3 | -0.7833 |
| 4 | -0.4765 |
| 5 | -0.3062 |
| 6 | -0.1429 |
| 7 | -0.4095 |
| 8 | -0.4928 |
| 9 | -0.5332 |
| 10 | -0.3191 |
| 11 | -0.4212 |
| 12 | -0.3599 |
| 13 | -0.6240 |
| 14 | -0.1515 |
| 15 | -0.0874 |
| 16 | -0.4224 |
| 17 | -0.5329 |
| 18 | -0.4258 |
| 19 | -0.4828 |
| 20 | -0.1000 |